Entry 1:
BaMoAs2 | SCAN | single point on PBEsol structure

POSCAR file:
```
BaMoAs2
1.0
3.751 0.000 0.000
-1.876 3.244 -0.198
0.000 -1.708 7.591
As Mo Ba
2 1 1
Cartesian
0.000 0.086 1.417 As
0.000 0.371 6.068 As
1.876 1.086 -0.003 Mo
0.000 2.384 3.509 Ba
```

The calculated density is 6.982 g cm⁻³. As for the total energy: -29.09 eV per atom. Its formation energy is -387 meV per atom. The energy above the most stable polymorph in this dataset is 0.0 meV per atom.



Entry 2:
Ba3MoAs | SCAN | single point on PBEsol structure

POSCAR file:
```
Ba3MoAs
1.0
-5.896 -1.953 -0.586
1.969 -4.983 -3.196
0.532 -3.205 5.325
As Mo Ba
1 1 3
Cartesian
0.000 0.000 0.000 As
-1.697 -5.071 0.772 Mo
0.984 -2.491 -1.598 Ba
0.266 -1.603 2.663 Ba
-2.948 -0.977 -0.293 Ba
```

The calculated density is 3.986 g cm⁻³. As for the total energy: -34.53 eV per atom. Its formation energy is 220 meV per atom.



Entry 3:
Ba2MoAs | SCAN | single point on PBEsol structure

POSCAR file:
```
Ba2MoAs
1.0
3.548 0.000 0.000
0.000 3.548 0.000
0.000 0.000 9.481
As Mo Ba
1 1 2
Cartesian
1.774 1.774 6.416 As
0.000 0.000 5.536 Mo
0.000 0.000 8.552 Ba
1.774 1.774 3.197 Ba
```

The calculated density is 6.198 g cm⁻³. As for the total energy: -33.46 eV per atom. Its formation energy is 84 meV per atom.



Entry 4:
BaMoAs2 | SCAN | single point on PBEsol structure

POSCAR file:
```
BaMoAs2
1.0
-1.606 -0.755 2.732
4.081 -0.148 4.301
0.228 4.845 3.414
As Mo Ba
2 1 1
Cartesian
2.526 3.054 6.214 As
0.176 0.888 4.234 As
2.154 2.348 3.858 Mo
-0.803 -0.377 1.366 Ba
```

The calculated density is 6.480 g cm⁻³. As for the total energy: -28.86 eV per atom. Its formation energy is -160 meV per atom. The energy above the most stable polymorph in this dataset is 226.4 meV per atom.



Entry 5:
Ba2NiMoAs | SCAN | single point on PBEsol structure

POSCAR file:
```
Ba2NiMoAs
1.0
4.365 0.000 0.000
0.000 5.761 0.000
0.000 0.000 5.761
As Mo Ba Ni
1 1 2 1
Cartesian
2.183 2.881 2.881 As
0.000 0.000 0.000 Mo
0.000 0.000 2.881 Ba
0.000 2.881 0.000 Ba
2.183 0.000 0.000 Ni
```

The calculated density is 5.779 g cm⁻³. As for the total energy: -29.38 eV per atom. Its formation energy is 690 meV per atom.



Entry 6:
BaAsN3 | SCAN | single point on PBEsol structure

POSCAR file:
```
BaAsN3
1.0
4.516 0.000 0.000
0.000 4.516 0.000
0.000 0.000 4.516
As Ba N
1 1 3
Cartesian
2.258 2.258 2.258 As
0.000 0.000 0.000 Ba
0.000 2.258 0.000 N
0.000 0.000 2.258 N
2.258 0.000 0.000 N
```

As for the energy relative to the elements, uncorrected: 2.69 eV/atom. The calculated density is 4.584 g cm⁻³. As for the total energy: -14.83 eV per atom.



Entry 7:
Ba3AsN | SCAN | single point on PBEsol structure

POSCAR file:
```
Ba3AsN
1.0
5.398 0.000 0.000
0.000 5.398 0.000
0.000 0.000 5.398
As Ba N
1 3 1
Cartesian
2.699 2.699 2.699 As
0.000 2.699 0.000 Ba
0.000 0.000 2.699 Ba
2.699 0.000 0.000 Ba
0.000 0.000 0.000 N
```

As for the energy relative to the elements, uncorrected: -0.85 eV/atom. The calculated density is 5.290 g cm⁻³. As for the total energy: -30.48 eV per atom.



Entry 8:
Ba2AsPN | SCAN | single point on PBEsol structure

POSCAR file:
```
Ba2AsPN
1.0
4.556 0.000 0.000
0.000 5.966 0.000
0.000 0.000 5.966
P As Ba N
1 1 2 1
Cartesian
0.000 0.000 0.000 P
2.278 0.000 0.000 As
0.000 0.000 2.983 Ba
0.000 2.983 0.000 Ba
2.278 2.983 2.983 N
```

As for the energy relative to the elements, uncorrected: 0.17 eV/atom. The calculated density is 4.041 g cm⁻³. As for the total energy: -23.63 eV per atom.



Entry 9:
BaAsS2N | SCAN | single point on PBEsol structure

POSCAR file:
```
BaAsS2N
1.0
-3.389 -1.375 1.538
-1.231 -1.925 -4.434
2.283 -4.265 1.217
S As Ba N
2 1 1 1
Cartesian
1.141 -2.133 0.609 S
-0.616 -0.962 -2.217 S
0.000 0.000 0.000 As
-1.169 -3.782 -0.840 Ba
-1.694 -0.687 0.769 N
```

As for the energy relative to the elements, uncorrected: -0.38 eV/atom. The calculated density is 4.885 g cm⁻³. As for the total energy: -18.04 eV per atom.



Entry 10:
BaAsSeN2 | SCAN | single point on PBEsol structure

POSCAR file:
```
BaAsSeN2
1.0
-1.857 -3.847 -0.739
2.531 -1.802 3.023
-4.499 1.299 4.541
As Ba Se N
1 1 1 2
Cartesian
-1.912 -2.175 3.412 As
0.000 0.000 0.000 Ba
-2.249 0.649 2.270 Se
1.265 -0.901 1.512 N
-0.928 -1.923 -0.370 N
```

As for the energy relative to the elements, uncorrected: 1.78 eV/atom. The calculated density is 4.325 g cm⁻³. As for the total energy: -17.90 eV per atom.



Entry 11:
BaTe2AsN | SCAN | single point on PBEsol structure

POSCAR file:
```
BaTe2AsN
1.0
4.395 0.000 0.000
0.000 6.332 0.000
0.000 0.000 6.332
As Te Ba N
1 2 1 1
Cartesian
2.198 3.166 3.166 As
0.000 0.000 3.166 Te
0.000 3.166 0.000 Te
0.000 0.000 0.000 Ba
2.198 0.000 0.000 N
```

As for the energy relative to the elements, uncorrected: 1.27 eV/atom. The calculated density is 4.537 g cm⁻³. As for the total energy: -27.44 eV per atom.



Entry 12:
BaNa2As2 | SCAN | single point on PBEsol structure

POSCAR file:
```
BaNa2As2
1.0
-4.233 -1.649 0.993
1.901 -3.205 2.782
0.763 6.346 2.903
Na As Ba
2 2 1
Cartesian
0.749 0.357 3.786 Na
-2.318 1.135 2.892 Na
-0.321 3.126 3.822 As
-1.247 -1.635 2.856 As
0.000 0.000 0.000 Ba
```

The calculated density is 4.124 g cm⁻³. As for the total energy: -18.47 eV per atom. Its formation energy is -799 meV per atom.



Entry 13:
Ba3NaAs | SCAN | single point on PBEsol structure

POSCAR file:
```
Ba3NaAs
1.0
6.409 0.000 0.000
0.000 6.409 0.000
0.000 0.000 6.409
Na As Ba
1 1 3
Cartesian
3.204 3.204 3.204 Na
0.000 0.000 0.000 As
0.000 3.204 0.000 Ba
0.000 0.000 3.204 Ba
3.204 0.000 0.000 Ba
```

The calculated density is 3.216 g cm⁻³. As for the total energy: -29.19 eV per atom. Its formation energy is -579 meV per atom.



Entry 14:
Ba2NaAsO | SCAN | single point on PBEsol structure

POSCAR file:
```
Ba2NaAsO
1.0
-3.227 -3.286 -0.588
3.264 -2.618 -3.275
1.986 -2.690 4.130
Na As Ba O
1 1 2 1
Cartesian
-1.613 -1.643 -0.294 Na
1.012 -4.297 0.133 As
0.993 -1.345 2.065 Ba
1.632 -1.309 -1.638 Ba
0.000 0.000 0.000 O
```

As for the energy relative to the elements, uncorrected: -1.65 eV/atom. The calculated density is 4.922 g cm⁻³. As for the total energy: -23.60 eV per atom.



Entry 15:
Ba2NaSn6As6 | SCAN | single point on PBEsol structure

POSCAR file:
```
Ba2NaSn6As6
1.0
-4.538 -4.997 -2.484
5.512 -1.925 4.201
-5.631 3.422 6.894
Ba Na Sn As
2 1 6 6
Cartesian
2.160 -2.950 1.972 Ba
-1.186 -3.973 -0.254 Ba
0.000 0.000 0.000 Na
-4.525 -3.269 4.375 Sn
-3.290 0.654 4.646 Sn
-1.120 -2.228 6.639 Sn
-0.132 -0.232 4.237 Sn
-3.537 -1.273 1.972 Sn
-1.367 -4.155 3.965 Sn
-0.910 -1.990 2.283 As
-4.293 -3.115 0.047 As
2.497 -1.040 4.563 As
-3.748 -1.510 6.329 As
-7.154 -2.461 4.048 As
-0.364 -0.385 8.564 As
```

The calculated density is 5.859 g cm⁻³. As for the total energy: -28.49 eV per atom. Its formation energy is -487 meV per atom.



Entry 16:
Ba2NiAs | SCAN | single point on PBEsol structure

POSCAR file:
```
Ba2NiAs
1.0
-2.721 -2.037 1.215
2.664 -2.962 0.999
0.810 3.083 6.981
As Ba Ni
1 2 1
Cartesian
0.377 -0.958 4.598 As
0.609 2.318 5.248 Ba
0.201 0.766 1.733 Ba
-0.028 -2.500 1.107 Ni
```

The calculated density is 5.958 g cm⁻³. As for the total energy: -29.16 eV per atom. Its formation energy is -296 meV per atom.



Entry 17:
BaNi9As5 | SCAN | single point on PBEsol structure

POSCAR file:
```
BaNi9As5
1.0
-5.546 3.688 -0.171
-0.178 -6.375 -1.927
-2.382 -3.096 10.461
Ba Ni As
2 18 10
Cartesian
-1.191 -1.548 5.231 Ba
0.000 0.000 0.000 Ba
-3.992 -2.203 3.133 Ni
-4.869 -6.974 7.481 Ni
-2.621 -5.919 8.305 Ni
-6.170 -0.754 3.066 Ni
-3.922 0.301 3.890 Ni
-4.184 -6.084 4.473 Ni
-1.936 -5.029 5.297 Ni
-4.799 -4.470 8.238 Ni
-4.114 -3.580 5.230 Ni
-3.307 -1.312 0.125 Ni
-3.237 1.191 0.882 Ni
-5.485 0.136 0.057 Ni
-1.898 -5.042 1.056 Ni
-6.275 -3.111 6.590 Ni
-4.147 -2.112 7.371 Ni
-3.960 -3.670 0.992 Ni
-1.832 -2.672 1.772 Ni
-6.208 -0.741 7.307 Ni
-5.214 1.176 2.141 As
-2.806 -3.888 7.150 As
-5.564 -5.182 6.139 As
-2.543 -0.601 2.223 As
-5.300 -1.895 1.212 As
-2.892 -6.959 6.222 As
-3.013 -4.379 3.248 As
-5.993 -2.573 9.064 As
-5.094 -1.404 5.115 As
-2.113 -3.210 -0.701 As
```

The calculated density is 8.048 g cm⁻³. As for the total energy: -19.58 eV per atom. Its formation energy is -511 meV per atom.



Entry 18:
Ba2NiAs | SCAN | single point on PBEsol structure

POSCAR file:
```
Ba2NiAs
1.0
4.090 -0.042 -0.040
0.054 5.264 0.023
0.054 0.254 5.258
As Ba Ni
1 2 1
Cartesian
2.099 2.738 2.620 As
0.027 0.127 2.629 Ba
0.027 2.632 0.012 Ba
2.045 -0.021 -0.020 Ni
```

The calculated density is 5.990 g cm⁻³. As for the total energy: -29.20 eV per atom. Its formation energy is -334 meV per atom.



Entry 19:
BaNi2As | SCAN | single point on PBEsol structure

POSCAR file:
```
BaNi2As
1.0
-3.475 -0.179 2.337
-2.158 -1.984 -3.359
1.333 -4.272 1.654
As Ba Ni
1 1 2
Cartesian
-0.819 -2.125 -1.380 As
-1.175 -3.696 1.729 Ba
0.258 -1.140 0.295 Ni
-2.975 -2.603 -0.864 Ni
```

The calculated density is 6.138 g cm⁻³. As for the total energy: -23.38 eV per atom. Its formation energy is -354 meV per atom.



Entry 20:
Ba4As2O | SCAN | single point on PBEsol structure

POSCAR file:
```
Ba4As2O
1.0
5.151 0.000 0.000
0.000 5.151 0.000
-2.575 -2.575 8.570
As Ba O
2 4 1
Cartesian
0.000 0.000 2.319 As
2.575 2.575 6.250 As
0.000 0.000 5.568 Ba
2.575 2.575 3.001 Ba
2.575 0.000 0.000 Ba
0.000 2.575 0.000 Ba
2.575 2.575 0.000 O
```

As for the energy relative to the elements, uncorrected: -1.68 eV/atom. The calculated density is 5.224 g cm⁻³. As for the total energy: -30.94 eV per atom.